Crystalline Pm5PaRh6 at its relaxed geometry, computed with PBE.

Its symmetry is No. 12. The total magnetization comes out at 0.0 μB/f.u. The calculation puts the formation energy at -0.732 eV per atom. The calculation puts the calculated volume at 21.8 Å³/atom. Its crystal system is monoclinic.

Cell: 4.930 7.112 8.618 Å, 65.60 73.44 89.98°
Atoms (fractional coordinates):
1 Pm 0.336 0.336 0.328
2 Pm 0.664 0.664 0.672
3 Pm 0.324 0.824 0.352
4 Pm 0.676 0.176 0.648
5 Pm 0.000 0.500 0.000
6 Rh 0.146 0.372 0.707
7 Rh 0.854 0.628 0.293
8 Rh 0.500 0.779 0.000
9 Rh 0.146 0.921 0.707
10 Rh 0.500 0.221 0.000
11 Rh 0.854 0.079 0.293
12 Pa 0.000 0.000 0.000

***

Crystalline PmPaRh2 at its relaxed geometry, computed with PBE.

Its symmetry is No. 123. The total magnetization comes out at 0.0 μB/f.u. The calculation puts the formation energy at -0.717 eV per atom. The calculation puts the calculated volume at 21.6 Å³/atom. Its crystal system is tetragonal. The excess energy over the best structure of this formula in the dataset is 0.45 eV/f.u.

Cell: 3.482 3.482 7.127 Å, 90.00 90.00 90.00°
Atoms (fractional coordinates):
1 Rh 0.000 0.000 0.792
2 Rh 0.000 0.000 0.208
3 Pm 0.500 0.500 0.500
4 Pa 0.500 0.500 0.000

***

Crystalline PmPaRh2 at its relaxed geometry, computed with PBE.

Its symmetry is No. 160. The total magnetization comes out at 0.0 μB/f.u. The calculation puts the formation energy at -0.691 eV per atom. The calculation puts the calculated volume at 23.3 Å³/atom. Its crystal system is trigonal. The excess energy over the best structure of this formula in the dataset is 0.55 eV/f.u.

Cell: 3.859 3.859 7.554 Å, 75.20 75.20 60.00°
Atoms (fractional coordinates):
1 Pm 0.497 0.497 0.508
2 Pa 0.668 0.668 0.995
3 Rh 0.074 0.074 0.777
4 Rh 0.260 0.260 0.220

***

Crystalline PmPaRuRh at its relaxed geometry, computed with PBE.

Its symmetry is No. 216. The total magnetization comes out at 0.0 μB/f.u. The calculation puts the formation energy at -0.426 eV per atom. The calculation puts the calculated volume at 20.8 Å³/atom. Its crystal system is cubic.

Cell: 4.900 4.900 4.900 Å, 60.00 60.00 60.00°
Atoms (fractional coordinates):
1 Ru 0.250 0.250 0.250
2 Pm 0.500 0.500 0.500
3 Rh 0.750 0.750 0.750
4 Pa 0.000 0.000 0.000

***

Crystalline Pm2PaSi3Rh4 at its relaxed geometry, computed with PBE.

As for the electronic total energy: -7.42 eV/atom. Its symmetry is No. 115. The total magnetization comes out at 0.0 μB/f.u. The calculation puts the calculated volume at 18.9 Å³/atom. Its crystal system is tetragonal.

Cell: 4.206 4.206 10.691 Å, 90.00 90.00 90.00°
Atoms (fractional coordinates):
1 Rh 0.000 0.000 0.000
2 Rh 0.500 0.500 0.000
3 Rh 0.000 0.500 0.345
4 Rh 0.500 0.000 0.655
5 Pa 0.500 0.500 0.500
6 Si 0.000 0.000 0.500
7 Si 0.500 0.000 0.882
8 Si 0.000 0.500 0.118
9 Pm 0.000 0.500 0.772
10 Pm 0.500 0.000 0.228

***

Crystalline PmSmPa2Rh4 at its relaxed geometry, computed with PBE.

Its symmetry is No. 42. The total magnetization comes out at 0.0 μB/f.u. The calculation puts the formation energy at -0.643 eV per atom. The calculation puts the calculated volume at 22.4 Å³/atom. Its crystal system is orthorhombic.

Cell: 5.704 5.704 6.987 Å, 116.97 116.97 83.62°
Atoms (fractional coordinates):
1 Pa 0.671 0.171 0.500
2 Pa 0.171 0.671 0.500
3 Rh 0.008 0.402 0.000
4 Rh 0.402 0.008 0.000
5 Rh 0.655 0.655 0.483
6 Rh 0.173 0.173 0.517
7 Sm 0.498 0.498 0.000
8 Pm 0.919 0.919 0.000

***

Crystalline Pm2SmPa2Rh5 at its relaxed geometry, computed with PBE.

Its symmetry is No. 127. The total magnetization comes out at 0.0 μB/f.u. The calculation puts the formation energy at -0.644 eV per atom. The calculation puts the calculated volume at 22.0 Å³/atom. Its crystal system is tetragonal.

Cell: 3.646 10.993 10.993 Å, 90.00 90.00 90.00°
Atoms (fractional coordinates):
1 Pm 0.000 0.827 0.673
2 Pm 0.000 0.673 0.173
3 Pm 0.000 0.173 0.327
4 Pm 0.000 0.327 0.827
5 Rh 0.500 0.790 0.951
6 Rh 0.500 0.210 0.049
7 Rh 0.500 0.000 0.500
8 Rh 0.500 0.049 0.790
9 Rh 0.500 0.290 0.549
10 Rh 0.500 0.500 0.000
11 Rh 0.500 0.951 0.210
12 Rh 0.500 0.710 0.451
13 Rh 0.500 0.549 0.710
14 Rh 0.500 0.451 0.290
15 Pa 0.000 0.635 0.865
16 Pa 0.000 0.365 0.135
17 Pa 0.000 0.135 0.635
18 Pa 0.000 0.865 0.365
19 Sm 0.000 0.000 0.000
20 Sm 0.000 0.500 0.500

***

Crystalline TbPmPa2Rh4 at its relaxed geometry, computed with PBE.

Its symmetry is No. 42. The total magnetization comes out at 0.0 μB/f.u. The calculation puts the formation energy at -0.673 eV per atom. The calculation puts the calculated volume at 22.1 Å³/atom. Its crystal system is orthorhombic.

Cell: 5.688 5.688 6.927 Å, 116.79 116.79 84.40°
Atoms (fractional coordinates):
1 Pa 0.164 0.664 0.500
2 Pa 0.664 0.164 0.500
3 Pm 0.926 0.926 0.000
4 Rh 0.169 0.169 0.529
5 Rh 0.409 0.017 0.000
6 Rh 0.017 0.409 0.000
7 Rh 0.640 0.640 0.471
8 Tb 0.509 0.509 0.000

***

Crystalline TbPm2Pa2Rh5 at its relaxed geometry, computed with PBE.

Its symmetry is No. 127. The total magnetization comes out at 0.0 μB/f.u. The calculation puts the formation energy at -0.659 eV per atom. The calculation puts the calculated volume at 21.7 Å³/atom. Its crystal system is tetragonal.

Cell: 3.622 10.955 10.955 Å, 90.00 90.00 90.00°
Atoms (fractional coordinates):
1 Rh 0.500 0.051 0.795
2 Rh 0.500 0.205 0.051
3 Rh 0.500 0.705 0.449
4 Rh 0.500 0.449 0.295
5 Rh 0.500 0.295 0.551
6 Rh 0.500 0.551 0.705
7 Rh 0.500 0.500 0.000
8 Rh 0.500 0.795 0.949
9 Rh 0.500 0.000 0.500
10 Rh 0.500 0.949 0.205
11 Pm 0.000 0.828 0.672
12 Pm 0.000 0.328 0.828
13 Pm 0.000 0.172 0.328
14 Pm 0.000 0.672 0.172
15 Pa 0.000 0.864 0.364
16 Pa 0.000 0.364 0.136
17 Pa 0.000 0.136 0.636
18 Pa 0.000 0.636 0.864
19 Tb 0.000 0.000 0.000
20 Tb 0.000 0.500 0.500

***

Crystalline Pm2TmPa2Rh5 at its relaxed geometry, computed with PBE.

Its symmetry is No. 127. The total magnetization comes out at 0.0 μB/f.u. The calculation puts the formation energy at -0.670 eV per atom. The calculation puts the calculated volume at 21.4 Å³/atom. Its crystal system is tetragonal.

Cell: 3.594 10.925 10.925 Å, 90.00 90.00 90.00°
Atoms (fractional coordinates):
1 Rh 0.500 0.446 0.300
2 Rh 0.500 0.700 0.446
3 Rh 0.500 0.500 0.000
4 Rh 0.500 0.054 0.800
5 Rh 0.500 0.554 0.700
6 Rh 0.500 0.000 0.500
7 Rh 0.500 0.300 0.554
8 Rh 0.500 0.200 0.054
9 Rh 0.500 0.946 0.200
10 Rh 0.500 0.800 0.946
11 Pa 0.000 0.137 0.637
12 Pa 0.000 0.363 0.137
13 Pa 0.000 0.863 0.363
14 Pa 0.000 0.637 0.863
15 Pm 0.000 0.171 0.329
16 Pm 0.000 0.829 0.671
17 Pm 0.000 0.329 0.829
18 Pm 0.000 0.671 0.171
19 Tm 0.000 0.000 0.000
20 Tm 0.000 0.500 0.500

***

Crystalline Pm2PaRu4 at its relaxed geometry, computed with PBE.

Its symmetry is No. 139. The total magnetization comes out at 0.0 μB/f.u. The calculation puts the formation energy at 0.048 eV per atom. The calculation puts the calculated volume at 20.8 Å³/atom. Its crystal system is tetragonal.

Cell: 4.546 4.546 7.750 Å, 107.06 107.06 90.00°
Atoms (fractional coordinates):
1 Pm 0.266 0.266 0.533
2 Pm 0.734 0.734 0.467
3 Ru 0.899 0.399 0.797
4 Ru 0.601 0.101 0.203
5 Ru 0.101 0.601 0.203
6 Ru 0.399 0.899 0.797
7 Pa 0.000 0.000 0.000

***

Crystalline Pm2PaRu at its relaxed geometry, computed with PBE.

Its symmetry is No. 166. The total magnetization comes out at 0.0 μB/f.u. The calculation puts the formation energy at 0.341 eV per atom. The calculation puts the calculated volume at 25.8 Å³/atom. Its crystal system is trigonal.

Cell: 3.319 3.319 10.979 Å, 81.31 81.31 60.00°
Atoms (fractional coordinates):
1 Pm 0.899 0.899 0.303
2 Pm 0.101 0.101 0.697
3 Ru 0.500 0.500 0.500
4 Pa 0.000 0.000 0.000

***

Crystalline Pm2PaRu2 at its relaxed geometry, computed with PBE.

Its symmetry is No. 14. The total magnetization comes out at 0.0 μB/f.u. The calculation puts the formation energy at -0.365 eV per atom. The calculation puts the calculated volume at 24.7 Å³/atom. Its crystal system is monoclinic. The excess energy over the best structure of this formula in the dataset is 0.29 eV/f.u.

Cell: 7.115 6.733 10.457 Å, 90.00 98.87 90.00°
Atoms (fractional coordinates):
1 Pa 0.499 0.673 0.629
2 Pa 0.999 0.827 0.629
3 Pa 0.001 0.173 0.371
4 Pa 0.501 0.327 0.371
5 Pm 0.936 0.255 0.024
6 Pm 0.872 0.650 0.278
7 Pm 0.436 0.245 0.024
8 Pm 0.564 0.755 0.976
9 Pm 0.064 0.745 0.976
10 Pm 0.628 0.150 0.722
11 Pm 0.372 0.850 0.278
12 Pm 0.128 0.350 0.722
13 Ru 0.280 0.062 0.514
14 Ru 0.720 0.938 0.486
15 Ru 0.769 0.560 0.793
16 Ru 0.220 0.562 0.486
17 Ru 0.269 0.940 0.793
18 Ru 0.731 0.060 0.207
19 Ru 0.780 0.438 0.514
20 Ru 0.231 0.440 0.207

***

Crystalline Pm2PaRu2 at its relaxed geometry, computed with PBE.

Its symmetry is No. 15. The total magnetization comes out at 0.0 μB/f.u. The calculation puts the formation energy at -0.424 eV per atom. The calculation puts the calculated volume at 24.3 Å³/atom. Its crystal system is monoclinic. The excess energy over the best structure of this formula in the dataset is 0.00 eV/f.u.

Cell: 5.946 5.946 7.948 Å, 81.21 81.21 61.32°
Atoms (fractional coordinates):
1 Pm 0.231 0.466 0.651
2 Pm 0.534 0.769 0.849
3 Pm 0.769 0.534 0.349
4 Pm 0.466 0.231 0.151
5 Pa 0.880 0.120 0.750
6 Pa 0.120 0.880 0.250
7 Ru 0.250 0.003 0.486
8 Ru 0.003 0.250 0.986
9 Ru 0.997 0.750 0.014
10 Ru 0.750 0.997 0.514

***

Crystalline Pm3Pa2Ru4 at its relaxed geometry, computed with PBE.

Its symmetry is No. 15. The total magnetization comes out at 0.0 μB/f.u. The calculation puts the formation energy at -0.401 eV per atom. The calculation puts the calculated volume at 23.8 Å³/atom. Its crystal system is monoclinic. The excess energy over the best structure of this formula in the dataset is 0.54 eV/f.u.

Cell: 6.080 8.735 8.735 Å, 67.73 91.79 91.79°
Atoms (fractional coordinates):
1 Ru 0.652 0.571 0.849
2 Ru 0.848 0.151 0.429
3 Ru 0.510 0.078 0.689
4 Ru 0.348 0.429 0.151
5 Ru 0.990 0.311 0.922
6 Ru 0.010 0.689 0.078
7 Ru 0.490 0.922 0.311
8 Ru 0.152 0.849 0.571
9 Pa 0.639 0.812 0.602
10 Pa 0.361 0.188 0.398
11 Pa 0.861 0.398 0.188
12 Pa 0.139 0.602 0.812
13 Pm 0.027 0.027 0.788
14 Pm 0.973 0.973 0.212
15 Pm 0.473 0.212 0.973
16 Pm 0.250 0.592 0.408
17 Pm 0.527 0.788 0.027
18 Pm 0.750 0.408 0.592

***

Crystalline Pm3Pa2Ru4 at its relaxed geometry, computed with PBE.

Its symmetry is No. 12. The total magnetization comes out at 0.0 μB/f.u. The calculation puts the formation energy at -0.460 eV per atom. The calculation puts the calculated volume at 23.6 Å³/atom. Its crystal system is monoclinic. The excess energy over the best structure of this formula in the dataset is 0.00 eV/f.u.

Cell: 4.274 6.004 9.033 Å, 100.25 90.00 110.85°
Atoms (fractional coordinates):
1 Ru 0.282 0.564 0.906
2 Ru 0.909 0.819 0.360
3 Ru 0.718 0.436 0.094
4 Ru 0.091 0.181 0.640
5 Pa 0.323 0.646 0.219
6 Pa 0.677 0.354 0.781
7 Pm 0.000 0.000 0.000
8 Pm 0.623 0.246 0.386
9 Pm 0.377 0.754 0.614

***

Crystalline Pm2Pa4Ru9 at its relaxed geometry, computed with PBE.

Its symmetry is No. 164. The total magnetization comes out at 0.0 μB/f.u. The calculation puts the formation energy at -0.321 eV per atom. The calculation puts the calculated volume at 20.3 Å³/atom. Its crystal system is trigonal.

Cell: 4.483 4.483 17.489 Å, 90.00 90.00 120.00°
Atoms (fractional coordinates):
1 Ru 0.333 0.667 0.932
2 Ru 0.000 0.000 0.500
3 Ru 0.000 0.000 0.341
4 Ru 0.333 0.667 0.580
5 Ru 0.000 0.000 0.848
6 Ru 0.000 0.000 0.659
7 Ru 0.667 0.333 0.068
8 Ru 0.000 0.000 0.152
9 Ru 0.667 0.333 0.420
10 Pa 0.667 0.333 0.597
11 Pa 0.333 0.667 0.099
12 Pa 0.667 0.333 0.901
13 Pa 0.333 0.667 0.403
14 Pm 0.333 0.667 0.755
15 Pm 0.667 0.333 0.245

***

Crystalline PmPaSbRu at its relaxed geometry, computed with PBE.

As for the electronic total energy: -6.74 eV/atom. Its symmetry is No. 216. The total magnetization comes out at 0.0 μB/f.u. The calculation puts the calculated volume at 22.6 Å³/atom. Its crystal system is cubic.

Cell: 5.036 5.036 5.036 Å, 60.00 60.00 60.00°
Atoms (fractional coordinates):
1 Pa 0.000 0.000 0.000
2 Sb 0.750 0.750 0.750
3 Ru 0.500 0.500 0.500
4 Pm 0.250 0.250 0.250

***

Crystalline Pm2SmPa2Ru5 at its relaxed geometry, computed with PBE.

Its symmetry is No. 127. The total magnetization comes out at 0.0 μB/f.u. The calculation puts the formation energy at -0.266 eV per atom. The calculation puts the calculated volume at 21.8 Å³/atom. Its crystal system is tetragonal.

Cell: 3.918 10.551 10.551 Å, 90.00 90.00 90.00°
Atoms (fractional coordinates):
1 Ru 0.500 0.070 0.780
2 Ru 0.500 0.220 0.070
3 Ru 0.500 0.570 0.720
4 Ru 0.500 0.000 0.500
5 Ru 0.500 0.500 0.000
6 Ru 0.500 0.930 0.220
7 Ru 0.500 0.280 0.570
8 Ru 0.500 0.780 0.930
9 Ru 0.500 0.430 0.280
10 Ru 0.500 0.720 0.430
11 Sm 0.000 0.000 0.000
12 Sm 0.000 0.500 0.500
13 Pa 0.000 0.626 0.874
14 Pa 0.000 0.126 0.626
15 Pa 0.000 0.874 0.374
16 Pa 0.000 0.374 0.126
17 Pm 0.000 0.176 0.324
18 Pm 0.000 0.676 0.176
19 Pm 0.000 0.824 0.676
20 Pm 0.000 0.324 0.824

***

Crystalline PmSm2Pa2Ru5 at its relaxed geometry, computed with PBE.

Its symmetry is No. 127. The total magnetization comes out at 0.0 μB/f.u. The calculation puts the formation energy at -0.272 eV per atom. The calculation puts the calculated volume at 21.8 Å³/atom. Its crystal system is tetragonal.

Cell: 3.923 10.540 10.540 Å, 90.00 90.00 90.00°
Atoms (fractional coordinates):
1 Ru 0.500 0.430 0.279
2 Ru 0.500 0.070 0.779
3 Ru 0.500 0.221 0.070
4 Ru 0.500 0.000 0.500
5 Ru 0.500 0.721 0.430
6 Ru 0.500 0.930 0.221
7 Ru 0.500 0.279 0.570
8 Ru 0.500 0.570 0.721
9 Ru 0.500 0.500 0.000
10 Ru 0.500 0.779 0.930
11 Pa 0.000 0.126 0.626
12 Pa 0.000 0.626 0.874
13 Pa 0.000 0.374 0.126
14 Pa 0.000 0.874 0.374
15 Sm 0.000 0.324 0.824
16 Sm 0.000 0.176 0.324
17 Sm 0.000 0.676 0.176
18 Sm 0.000 0.824 0.676
19 Pm 0.000 0.500 0.500
20 Pm 0.000 0.000 0.000